Record 1
# GGA-PBE MgGa2Rh, optimized geometry
# * energy of formation: -380 meV per atom
data_MgGa2Rh
_cell_length_a 3.351
_cell_length_b 3.351
_cell_length_c 5.659
_cell_angle_alpha 90.00
_cell_angle_beta 90.00
_cell_angle_gamma 90.00
_symmetry_space_group_name_H-M 'P 1'
_symmetry_Int_Tables_number 1
loop_
_symmetry_equiv_pos_as_xyz
'x,y,z'
loop_
_atom_site_label
_atom_site_type_symbol
_atom_site_fract_x
_atom_site_fract_y
_atom_site_fract_z
Mg1 Mg 0.500 0.500 0.500
Rh1 Rh 0.500 0.500 0.000
Ga1 Ga 0.000 0.000 0.769
Ga2 Ga 0.000 0.000 0.231


Record 2
## Na4YTh3S8 (GGA-PBE)

Data for a geometry-optimized Na4YTh3S8 structure.

```
data_Na4YTh3S8
_cell_length_a 8.023
_cell_length_b 8.258
_cell_length_c 8.022
_cell_angle_alpha 119.07
_cell_angle_beta 120.00
_cell_angle_gamma 90.00
_symmetry_space_group_name_H-M 'P 1'
_symmetry_Int_Tables_number 1
loop_
_symmetry_equiv_pos_as_xyz
'x,y,z'
loop_
_atom_site_label
_atom_site_type_symbol
_atom_site_fract_x
_atom_site_fract_y
_atom_site_fract_z
Na1 Na 0.500 0.000 0.000
Na2 Na 0.500 0.000 0.500
Na3 Na 0.000 0.000 0.000
Na4 Na 0.000 0.000 0.500
Y1 Y 0.000 0.500 0.000
Th1 Th 0.500 0.500 0.000
Th2 Th 0.500 0.500 0.500
Th3 Th 0.000 0.500 0.500
S1 S 0.243 0.736 0.993
S2 S 0.243 0.736 0.486
S3 S 0.252 0.255 0.503
S4 S 0.750 0.736 0.993
S5 S 0.250 0.264 0.007
S6 S 0.748 0.745 0.497
S7 S 0.757 0.264 0.514
S8 S 0.757 0.264 0.007
```


Record 3
## SrNdO3 (GGA-PBE)

Data for a geometry-optimized SrNdO3 structure.

```
data_SrNdO3
_cell_length_a 4.493
_cell_length_b 4.493
_cell_length_c 4.493
_cell_angle_alpha 90.00
_cell_angle_beta 90.00
_cell_angle_gamma 90.00
_symmetry_space_group_name_H-M 'P 1'
_symmetry_Int_Tables_number 1
loop_
_symmetry_equiv_pos_as_xyz
'x,y,z'
loop_
_atom_site_label
_atom_site_type_symbol
_atom_site_fract_x
_atom_site_fract_y
_atom_site_fract_z
Sr1 Sr 0.000 0.000 0.000
Nd1 Nd 0.500 0.500 0.500
O1 O 0.000 0.500 0.500
O2 O 0.500 0.000 0.500
O3 O 0.500 0.500 0.000
```


Record 4
# GGA-PBE CuRu2Rh, optimized geometry
# * polymorph energy (0 for the lowest one): 0 meV per atom
# * energy of formation: 119 meV per atom
data_CuRu2Rh
_cell_length_a 2.721
_cell_length_b 2.721
_cell_length_c 7.371
_cell_angle_alpha 90.00
_cell_angle_beta 90.00
_cell_angle_gamma 90.00
_symmetry_space_group_name_H-M 'P 1'
_symmetry_Int_Tables_number 1
loop_
_symmetry_equiv_pos_as_xyz
'x,y,z'
loop_
_atom_site_label
_atom_site_type_symbol
_atom_site_fract_x
_atom_site_fract_y
_atom_site_fract_z
Cu1 Cu 0.000 0.000 0.500
Rh1 Rh 0.500 0.500 0.747
Ru1 Ru 0.000 0.000 0.003
Ru2 Ru 0.500 0.500 0.250


Record 5
# GGA-PBE TmPuPaTc, optimized geometry
# * energy of formation: 89 meV per atom
data_TmPuPaTc
_cell_length_a 4.979
_cell_length_b 4.979
_cell_length_c 4.979
_cell_angle_alpha 60.00
_cell_angle_beta 60.00
_cell_angle_gamma 60.00
_symmetry_space_group_name_H-M 'P 1'
_symmetry_Int_Tables_number 1
loop_
_symmetry_equiv_pos_as_xyz
'x,y,z'
loop_
_atom_site_label
_atom_site_type_symbol
_atom_site_fract_x
_atom_site_fract_y
_atom_site_fract_z
Pa1 Pa 0.250 0.250 0.250
Tm1 Tm 0.750 0.750 0.750
Tc1 Tc 0.000 0.000 0.000
Pu1 Pu 0.500 0.500 0.500


Record 6
# GGA-PBE SrNp2UAs4, optimized geometry
# * energy of formation: -715 meV per atom
data_SrNp2UAs4
_cell_length_a 5.899
_cell_length_b 5.901
_cell_length_c 7.236
_cell_angle_alpha 114.06
_cell_angle_beta 114.05
_cell_angle_gamma 90.00
_symmetry_space_group_name_H-M 'P 1'
_symmetry_Int_Tables_number 1
loop_
_symmetry_equiv_pos_as_xyz
'x,y,z'
loop_
_atom_site_label
_atom_site_type_symbol
_atom_site_fract_x
_atom_site_fract_y
_atom_site_fract_z
Sr1 Sr 0.500 0.500 0.000
Np1 Np 0.250 0.750 0.500
Np2 Np 0.000 0.000 0.000
U1 U 0.750 0.250 0.500
As1 As 0.997 0.497 0.994
As2 As 0.503 0.003 0.006
As3 As 0.760 0.760 0.520
As4 As 0.240 0.240 0.480


Record 7
# GGA-PBE Li3Ag2Pb3, optimized geometry
# * polymorph energy (0 for the lowest one): 0 meV per atom
# * energy of formation: -179 meV per atom
data_Li3Ag2Pb3
_cell_length_a 4.152
_cell_length_b 4.538
_cell_length_c 9.589
_cell_angle_alpha 76.58
_cell_angle_beta 77.90
_cell_angle_gamma 90.14
_symmetry_space_group_name_H-M 'P 1'
_symmetry_Int_Tables_number 1
loop_
_symmetry_equiv_pos_as_xyz
'x,y,z'
loop_
_atom_site_label
_atom_site_type_symbol
_atom_site_fract_x
_atom_site_fract_y
_atom_site_fract_z
Li1 Li 0.860 0.361 0.276
Li2 Li 0.140 0.639 0.724
Li3 Li 0.000 0.000 0.000
Ag1 Ag 0.747 0.747 0.504
Ag2 Ag 0.253 0.253 0.496
Pb1 Pb 0.365 0.867 0.267
Pb2 Pb 0.500 0.500 0.000
Pb3 Pb 0.635 0.133 0.733


Record 8
# GGA-PBE Ac3La2Y, optimized geometry
# * polymorph energy (0 for the lowest one): 49 meV per atom
# * energy of formation: 101 meV per atom
data_Ac3La2Y
_cell_length_a 7.183
_cell_length_b 9.636
_cell_length_c 7.183
_cell_angle_alpha 82.60
_cell_angle_beta 84.19
_cell_angle_gamma 97.40
_symmetry_space_group_name_H-M 'P 1'
_symmetry_Int_Tables_number 1
loop_
_symmetry_equiv_pos_as_xyz
'x,y,z'
loop_
_atom_site_label
_atom_site_type_symbol
_atom_site_fract_x
_atom_site_fract_y
_atom_site_fract_z
Ac1 Ac 0.575 0.250 0.575
Ac2 Ac 0.425 0.750 0.425
Ac3 Ac 0.148 0.988 0.688
Ac4 Ac 0.688 0.512 0.148
Ac5 Ac 0.312 0.488 0.852
Ac6 Ac 0.852 0.012 0.312
La1 La 0.882 0.621 0.619
La2 La 0.381 0.121 0.118
La3 La 0.619 0.879 0.882
La4 La 0.118 0.379 0.381
Y1 Y 0.099 0.750 0.099
Y2 Y 0.901 0.250 0.901


Number 1: E_tot -4.130 eV/atom. Number 2: E_tot -5.862 eV/atom. Number 3: E_tot -6.658 eV/atom. Number 4: E_tot -7.381 eV/atom. Number 5: E_tot -9.577 eV/atom. Number 6: E_tot -7.896 eV/atom. Number 7: E_tot -3.000 eV/atom. Number 8: E_tot -4.673 eV/atom.